Record 1
DFT (GGA-PBE) results for crystalline SrCr2Tc at its relaxed geometry.

Cell lengths 3.3353, 3.3353, 7.0958 Å; angles 90.00, 90.00, 90.00 degrees
Last column: nearest neighbours and their distance in Å.
Space group P4/mmm (No. 123)
Unique sites:
Sr 0.0000 0.0000 0.0000 [1 per cell]  4 Sr 3.34, 8 Cr 3.47, 2 Tc 3.55
Cr 0.5000 0.5000 0.3580 [2 per cell]  1 Cr 2.02
Tc 0.0000 0.0000 0.5000 [1 per cell]  8 Cr 2.56

Computed properties:
For the volume, the calculation gives 19.73 Å³ per atom. The value obtained for the formation energy is 0.66 eV per atom. For the distance to the lowest polymorph of the same formula, the calculation gives 74.4 meV per atom. As for the density of states at the Fermi level: 4.586 states/eV/f.u. Its total magnetization is 0.00 μB per atom.



Record 2
DFT (GGA-PBE) results for crystalline SrCr2Tc at its relaxed geometry.

Cell lengths 5.3198, 2.8657, 5.5213 Å; angles 90.00, 116.79, 90.00 degrees
Last column: nearest neighbours and their distance in Å.
Space group P2/m (No. 10)
Unique sites:
Sr 0.0000 0.0000 0.0000 [1 per cell]  6 Cr 2.84-3.02, 2 Sr 2.87, 4 Tc 3.11
Cr 0.5000 0.0000 0.5000 [1 per cell]  2 Sr 2.84, 6 Cr 2.87-3.11, 4 Tc 3.02
Cr 0.5000 0.5000 0.0000 [1 per cell]  2 Tc 2.84, 6 Cr 2.87-3.11, 4 Sr 3.02
Tc 0.0000 0.5000 0.5000 [1 per cell]  6 Cr 2.84-3.02, 2 Tc 2.87, 4 Sr 3.11

Computed properties:
For the volume, the calculation gives 18.78 Å³ per atom. The value obtained for the formation energy is 1.24 eV per atom. For the distance to the lowest polymorph of the same formula, the calculation gives 653.9 meV per atom. As for the density of states at the Fermi level: 6.166 states/eV/f.u. Its total magnetization is 1.58 μB per atom.



Record 3
DFT (GGA-PBE) results for crystalline SrCrTc2 at its relaxed geometry.

Cell lengths 4.7706, 4.7706, 3.1406 Å; angles 90.00, 90.00, 90.00 degrees
Last column: nearest neighbours and their distance in Å.
Space group P4/mmm (No. 123)
Unique sites:
Sr 0.0000 0.0000 0.0000 [1 per cell]  8 Tc 2.86, 2 Sr 3.14
Cr 0.5000 0.5000 0.0000 [1 per cell]  8 Tc 2.86, 2 Cr 3.14
Tc 0.0000 0.5000 0.5000 [2 per cell]  4 Cr 2.86, 4 Sr 2.86, 2 Tc 3.14

Computed properties:
For the volume, the calculation gives 17.87 Å³ per atom. The value obtained for the formation energy is 1.15 eV per atom. For the distance to the lowest polymorph of the same formula, the calculation gives 584.5 meV per atom. As for the density of states at the Fermi level: 3.804 states/eV/f.u. Its total magnetization is 0.07 μB per atom.



Record 4
DFT (GGA-PBE) results for crystalline SrCr2Tc at its relaxed geometry.

Cell lengths 3.3184, 4.7302, 4.8400 Å; angles 90.00, 90.00, 90.00 degrees
Last column: nearest neighbours and their distance in Å.
Space group Pmmm (No. 47)
Unique sites:
Sr 0.0000 0.0000 0.0000 [1 per cell]  4 Cr 2.89, 4 Tc 2.93
Cr 0.0000 0.5000 0.5000 [1 per cell]  4 Tc 2.89, 4 Cr 2.93
Cr 0.5000 0.5000 0.0000 [1 per cell]  4 Sr 2.89, 4 Cr 2.93
Tc 0.5000 0.0000 0.5000 [1 per cell]  4 Cr 2.89, 4 Sr 2.93

Computed properties:
For the volume, the calculation gives 18.99 Å³ per atom. The value obtained for the formation energy is 1.08 eV per atom. For the distance to the lowest polymorph of the same formula, the calculation gives 494.9 meV per atom. As for the density of states at the Fermi level: 3.549 states/eV/f.u. Its total magnetization is 0.53 μB per atom.



Record 5
DFT (GGA-PBE) results for crystalline Sr3CrTc at its relaxed geometry.

Cell lengths 5.7564, 5.7564, 5.7564 Å; angles 90.00, 90.00, 90.00 degrees
Last column: nearest neighbours and their distance in Å.
Space group Pm-3m (No. 221)
Unique sites:
Sr 0.0000 0.0000 0.5000 [3 per cell]  2 Tc 2.88
Cr 0.5000 0.5000 0.5000 [1 per cell]  12 Sr 4.07
Tc 0.0000 0.0000 0.0000 [1 per cell]  6 Sr 2.88

Computed properties:
For the volume, the calculation gives 38.15 Å³ per atom. The value obtained for the formation energy is 0.95 eV per atom. For the distance to the lowest polymorph of the same formula, the calculation gives 0.0 meV per atom. As for the density of states at the Fermi level: 3.768 states/eV/f.u. Its total magnetization is 1.25 μB per atom.



Record 6
DFT (GGA-PBE) results for crystalline Sr2CrTc at its relaxed geometry.

Cell lengths 7.3927, 7.3927, 7.3927 Å; angles 90.00, 90.00, 90.00 degrees
Last column: nearest neighbours and their distance in Å.
Space group F-43m (No. 216)
Unique sites:
Sr 0.0000 0.0000 0.0000 [4 per cell]  4 Sr 3.20, 4 Tc 3.20
Sr 0.2500 0.2500 0.2500 [4 per cell]  4 Cr 3.20, 4 Sr 3.20
Cr 0.0000 0.0000 0.5000 [4 per cell]  4 Tc 3.20, 4 Sr 3.20
Tc 0.2500 0.2500 0.7500 [4 per cell]  4 Sr 3.20, 4 Cr 3.20

Computed properties:
For the volume, the calculation gives 25.25 Å³ per atom. The value obtained for the formation energy is 0.99 eV per atom. For the distance to the lowest polymorph of the same formula, the calculation gives 604.1 meV per atom. As for the density of states at the Fermi level: 5.530 states/eV/f.u. Its total magnetization is 0.64 μB per atom.



Q: What is the formula in the fifth record?
A: Sr3CrTc